Here is a relaxed CoReOsSeO crystal from Alexandria. Energies are from PBE+U.

Summary:
Its magnetization is 0.4555 μB/atom. Its density of states at the Fermi level is 2.182 states/eV/f.u. The calculated volume comes out at 14.81 A^3/atom. Its relative energy among the computed polymorphs is 39 meV per atom. As for the crystal system: orthorhombic.

a b c (Å): 2.8180 3.0936 8.4922
angles (deg): 90.00 90.00 90.00
Space group Pmm2 (No. 25)
Inequivalent atoms, fractional coordinates:
1 Co 0.0000 0.0000 0.0000 [1 per cell]
2 Re 0.5000 0.5000 0.6727 [1 per cell]
3 Os 0.0000 0.0000 0.4920 [1 per cell]
4 Se 0.0000 0.5000 0.2399 [1 per cell]
5 O 0.0000 0.5000 0.8543 [1 per cell]